DFT (PBE-GGA) results for a geometry-optimized Sc2Ir2W3 structure.

Calculated values
Its symmetry is R3m. The formation energy is 0.23 eV/atom.

Cell: 7.6300 7.6300 7.6300 Å, 33.81 33.81 33.81°
With the nearest neighbours (Å) after each atom.
Fractional positions:
1 W 0.8772 0.8772 0.8772  4 Sc 2.57-2.65, 4 Ir 2.62-2.78
2 W 0.3751 0.3751 0.3751  4 Ir 2.57-2.72, 4 Sc 2.78-2.88
3 Sc 0.2416 0.2416 0.2416  7 W 2.65-2.88
4 Ir 0.4944 0.4944 0.4944  4 W 2.57-2.78
5 Sc 0.7580 0.7580 0.7580  5 W 2.57-2.78
6 Ir 0.9988 0.9988 0.9988  7 W 2.62-2.72
7 W 0.6301 0.6301 0.6301  4 Ir 2.67-2.93, 4 Sc 2.76-2.82

DFT (PBE-GGA) results for a geometry-optimized NbTc3C structure.

Calculated values
Its symmetry is Pm-3m.

Cell: 4.0977 4.0977 4.0977 Å, 90.00 90.00 90.00°
With the nearest neighbours (Å) after each atom.
Fractional positions:
1 Nb 0.0000 0.0000 0.0000  12 Tc 2.90
2 C 0.5000 0.5000 0.5000  6 Tc 2.05
3 Tc 0.5000 0.5000 0.0000  2 C 2.05
4 Tc 0.0000 0.5000 0.5000  2 C 2.05
5 Tc 0.5000 0.0000 0.5000  2 C 2.05

DFT (PBE-GGA) results for a geometry-optimized Hf2Cu2Te structure.

Calculated values
Its symmetry is I4/mmm.

Cell: 7.0789 7.0789 7.0789 Å, 149.31 149.31 43.96°
With the nearest neighbours (Å) after each atom.
Fractional positions:
1 Hf 0.3862 0.3862 0.0000  4 Cu 2.59
2 Cu 0.7500 0.2500 0.5000  4 Hf 2.59, 4 Cu 2.65
3 Te 0.0000 0.0000 0.0000  8 Hf 3.04
4 Hf 0.6138 0.6138 0.0000  4 Cu 2.59
5 Cu 0.2500 0.7500 0.5000  4 Hf 2.59, 4 Cu 2.65

DFT (PBE-GGA) results for a geometry-optimized LiNp structure.

Calculated values
Its symmetry is P-6m2. The value obtained for the excess energy over the best structure of this formula in the dataset is 0.0 meV per atom.

Cell: 2.7732 2.7720 5.6803 Å, 90.00 90.00 120.00°
With the nearest neighbours (Å) after each atom.
Fractional positions:
1 Np 0.3333 0.6666 0.2500  6 Np 2.77
2 Li 0.6667 0.3334 0.7500  6 Li 2.77

DFT (PBE-GGA) results for a geometry-optimized NbSe2BrCl structure.

Calculated values
Its symmetry is P-1.

Cell: 6.6030 6.6306 7.6537 Å, 68.76 69.25 61.71°
With the nearest neighbours (Å) after each atom.
Fractional positions:
1 Br 0.4232 0.3542 0.2233  2 Nb 2.78-2.81
2 Se 0.7359 0.0388 0.8702  1 Se 2.31
3 Se 0.0773 0.0901 0.6855  1 Se 2.31
4 Br 0.5768 0.6458 0.7767  2 Nb 2.78-2.81
5 Cl 0.1512 0.4815 0.7940  2 Nb 2.60-2.65
6 Se 0.9227 0.9099 0.3145  1 Se 2.31
7 Nb 0.1210 0.7440 0.0003  2 Cl 2.60-2.65, 4 Se 2.63-2.65, 2 Br 2.78-2.81
8 Cl 0.8488 0.5185 0.2060  2 Nb 2.60-2.65
9 Se 0.2641 0.9612 0.1298  1 Se 2.31
10 Nb 0.8790 0.2560 0.9997  2 Cl 2.60-2.65, 4 Se 2.63-2.65, 2 Br 2.78-2.81

DFT (PBE-GGA) results for a geometry-optimized SrReNO structure.

Calculated values
Its symmetry is P4/nmm. The value obtained for the excess energy over the best structure of this formula in the dataset is 299.3 meV per atom.

Cell: 4.0580 4.0580 8.7339 Å, 90.00 90.00 90.00°
With the nearest neighbours (Å) after each atom.
Fractional positions:
1 Re 0.5000 0.5000 0.5000  4 N 2.03
2 Sr 0.5000 0.0000 0.8607  4 O 2.37
3 Sr 0.0000 0.5000 0.1393  4 O 2.37
4 Re 0.0000 0.0000 0.5000  4 N 2.03
5 O 0.0000 0.0000 0.0000  4 Sr 2.37
6 N 0.5000 0.0000 0.5015  4 Re 2.03
7 O 0.5000 0.5000 0.0000  4 Sr 2.37
8 N 0.0000 0.5000 0.4985  4 Re 2.03

DFT (PBE-GGA) results for a geometry-optimized ScCuPdPb structure.

Calculated values
Its symmetry is F-43m. The value obtained for the excess energy over the best structure of this formula in the dataset is 0.0 meV per atom.

Cell: 4.6893 4.6893 4.6893 Å, 60.00 60.00 60.00°
With the nearest neighbours (Å) after each atom.
Fractional positions:
1 Pb 0.5000 0.5000 0.5000  4 Pd 2.87, 4 Cu 2.87
2 Pd 0.2500 0.2500 0.2500  4 Pb 2.87, 4 Sc 2.87
3 Cu 0.7500 0.7500 0.7500  4 Pb 2.87, 4 Sc 2.87
4 Sc 0.0000 0.0000 0.0000  4 Pd 2.87, 4 Cu 2.87

DFT (PBE-GGA) results for a geometry-optimized CoPd3 structure.

Calculated values
Its symmetry is P6_3/mmc. The formation energy is 0.21 eV/atom.

Cell: 5.4767 5.4767 4.4522 Å, 90.00 90.00 120.00°
With the nearest neighbours (Å) after each atom.
Fractional positions:
1 Pd 0.1696 0.3392 0.2500  8 Pd 2.69-2.79, 4 Co 2.71-2.74
2 Co 0.6667 0.3333 0.2500  12 Pd 2.71-2.74
3 Pd 0.3392 0.1696 0.7500  8 Pd 2.69-2.79, 4 Co 2.71-2.74
4 Pd 0.8304 0.6608 0.7500  8 Pd 2.69-2.79, 4 Co 2.71-2.74
5 Pd 0.8304 0.1696 0.7500  8 Pd 2.69-2.79, 4 Co 2.71-2.74
6 Co 0.3333 0.6667 0.7500  12 Pd 2.71-2.74
7 Pd 0.1696 0.8304 0.2500  8 Pd 2.69-2.79, 4 Co 2.71-2.74
8 Pd 0.6608 0.8304 0.2500  8 Pd 2.69-2.79, 4 Co 2.71-2.74

DFT (PBE-GGA) results for a geometry-optimized SrTmAuSeS2 structure.

Calculated values
Its symmetry is Cmcm.

Cell: 7.1010 7.1010 10.5323 Å, 90.00 90.00 147.16°
With the nearest neighbours (Å) after each atom.
Fractional positions:
1 Tm 0.5000 0.5000 0.5000  4 S 2.77, 2 Se 2.93
2 Sr 0.7336 0.2664 0.2500  2 Se 3.08, 4 S 3.19, 2 Au 3.37
3 S 0.1338 0.8662 0.4466  1 Au 2.47
4 Se 0.5950 0.4050 0.7500  2 Au 2.68, 2 Tm 2.93
5 Se 0.4050 0.5950 0.2500  2 Au 2.68, 2 Tm 2.93
6 S 0.1338 0.8662 0.0534  1 Au 2.47
7 S 0.8662 0.1338 0.9466  1 Au 2.47
8 S 0.8662 0.1338 0.5534  1 Au 2.47
9 Au 0.9648 0.0352 0.7500  2 S 2.47, 2 Se 2.68
10 Tm 0.5000 0.5000 0.0000  4 S 2.77, 2 Se 2.93
11 Au 0.0352 0.9648 0.2500  2 S 2.47, 2 Se 2.68
12 Sr 0.2664 0.7336 0.7500  2 Se 3.08, 4 S 3.19, 2 Au 3.37

DFT (PBE-GGA) results for a geometry-optimized GdTm2Mg4Al2 structure.

Calculated values
Its symmetry is Amm2.

Cell: 4.5608 7.4617 7.4617 Å, 120.56 90.00 90.00°
With the nearest neighbours (Å) after each atom.
Fractional positions:
1 Mg 0.5000 0.2498 0.2498  2 Al 2.85, 2 Mg 2.92
2 Mg 0.5000 0.0002 0.7510  2 Al 2.84-2.85, 2 Mg 2.95
3 Mg 0.0000 0.0041 0.0041  6 Mg 2.92-2.95, 2 Tm 3.25, 1 Gd 3.26
4 Al 0.5000 0.3301 0.6665  3 Mg 2.84-2.85, 4 Tm 3.16
5 Tm 0.0000 0.4364 0.9983  4 Al 3.16, 3 Mg 3.25-3.27
6 Mg 0.5000 0.7510 0.0002  2 Al 2.84-2.85, 2 Mg 2.95
7 Al 0.5000 0.6665 0.3301  3 Mg 2.84-2.85, 4 Tm 3.16
8 Gd 0.0000 0.5637 0.5637  4 Al 3.19, 3 Mg 3.26
9 Tm 0.0000 0.9983 0.4364  4 Al 3.16, 3 Mg 3.25-3.27

DFT (PBE-GGA) results for a geometry-optimized Pa2HgF9 structure.

Calculated values
Its symmetry is P6/mmm.

Cell: 7.6999 7.6999 3.5010 Å, 90.00 90.00 120.00°
With the nearest neighbours (Å) after each atom.
Fractional positions:
1 Hg 0.0000 0.0000 0.0000  12 F 3.43, 2 Hg 3.50
2 F 0.5000 0.5000 0.0000  2 Pa 2.22
3 Pa 0.3333 0.6667 0.0000  9 F 2.22-2.30
4 F 0.5576 0.7788 0.5000  2 Pa 2.30
5 F 0.0000 0.5000 0.0000  2 Pa 2.22
6 F 0.2212 0.7788 0.5000  2 Pa 2.30
7 F 0.2212 0.4424 0.5000  2 Pa 2.30
8 F 0.7788 0.2212 0.5000  2 Pa 2.30
9 F 0.5000 0.0000 0.0000  2 Pa 2.22
10 F 0.7788 0.5576 0.5000  2 Pa 2.30
11 F 0.4424 0.2212 0.5000  2 Pa 2.30
12 Pa 0.6667 0.3333 0.0000  9 F 2.22-2.30

DFT (PBE-GGA) results for a geometry-optimized BiB4Ir structure.

Calculated values
Its symmetry is P6/mmm. The value obtained for the excess energy over the best structure of this formula in the dataset is 0.0 meV per atom.

Cell: 3.0994 3.0994 8.4422 Å, 90.00 90.00 120.00°
With the nearest neighbours (Å) after each atom.
Fractional positions:
1 B 0.3333 0.6667 0.3097  3 B 1.79
2 Bi 0.0000 0.0000 0.0000  6 Bi 3.10, 12 B 3.17
3 Ir 0.0000 0.0000 0.5000  12 B 2.40
4 B 0.6667 0.3333 0.3097  3 B 1.79
5 B 0.6667 0.3333 0.6903  3 B 1.79
6 B 0.3333 0.6667 0.6903  3 B 1.79

Number 1: final energy -67.62 eV/cell. Number 2: final energy -50.85 eV/cell. Number 3: final energy -30.04 eV/cell. Number 4: final energy -14.11 eV/cell. Number 5: final energy -49.49 eV/cell. Number 6: final energy -60.40 eV/cell. Number 7: final energy -20.57 eV/cell. Number 8: final energy -43.62 eV/cell. Number 9: final energy -60.22 eV/cell. Number 10: final energy -29.19 eV/cell. Number 11: final energy -76.84 eV/cell. Number 12: final energy -36.13 eV/cell.